#one
The following is a DFT calculation (PBE) of TlIn2Rh2 after structural relaxation.

a b c (Å): 4.104 4.104 6.855
angles (deg): 72.58 72.58 90.00
Positions (direct):
Rh (0.395, 0.395, 0.209)
In (0.250, 0.750, 0.500)
In (0.750, 0.250, 0.500)
Tl (0.000, 0.000, 0.000)
Rh (0.605, 0.605, 0.791)

Symmetry = I4/mmm (139)
D(E_F) = 0.24 states/eV/atom

#two
The following is a DFT calculation (PBE) of TlIn2Rh2 after structural relaxation.

a b c (Å): 7.690 7.690 3.260
angles (deg): 90.00 90.00 90.00
Positions (direct):
In (0.647, 0.853, 0.500)
Rh (0.851, 0.649, 0.000)
Rh (0.351, 0.851, 0.000)
In (0.353, 0.147, 0.500)
In (0.147, 0.647, 0.500)
In (0.853, 0.353, 0.500)
Rh (0.149, 0.351, 0.000)
Rh (0.649, 0.149, 0.000)
Tl (0.500, 0.500, 0.000)
Tl (0.000, 0.000, 0.000)

Symmetry = P4/mbm (127)
D(E_F) = 0.33 states/eV/atom

Which structure is the most stable? The one labeled #two.

#one
The following is a DFT calculation (PBE) of Tm4InRh after structural relaxation.

a b c (Å): 9.522 9.522 9.522
angles (deg): 60.00 60.00 60.00
Positions (direct):
Tm (0.810, 0.190, 0.810)
Tm (0.190, 0.190, 0.810)
Tm (0.190, 0.810, 0.190)
Rh (0.858, 0.858, 0.858)
Tm (0.810, 0.190, 0.190)
Tm (0.438, 0.062, 0.438)
Tm (0.062, 0.438, 0.062)
Tm (0.190, 0.810, 0.810)
Tm (0.810, 0.810, 0.190)
In (0.417, 0.417, 0.417)
Rh (0.427, 0.858, 0.858)
Tm (0.438, 0.062, 0.062)
Rh (0.858, 0.427, 0.858)
In (0.417, 0.417, 0.750)
Rh (0.858, 0.858, 0.427)
Tm (0.050, 0.650, 0.650)
Tm (0.650, 0.050, 0.650)
Tm (0.438, 0.438, 0.062)
In (0.417, 0.750, 0.417)
Tm (0.062, 0.438, 0.438)
Tm (0.650, 0.650, 0.050)
Tm (0.650, 0.650, 0.650)
In (0.750, 0.417, 0.417)
Tm (0.062, 0.062, 0.438)

Symmetry = F-43m (216)
D(E_F) = 0.51 states/eV/atom

#two
The following is a DFT calculation (PBE) of Tm4InRh after structural relaxation.

a b c (Å): 4.839 4.840 7.273
angles (deg): 89.93 89.97 90.00
Positions (direct):
In (0.501, 0.497, 0.998)
Tm (0.002, 0.498, 0.723)
Tm (0.001, 0.497, 0.274)
Tm (0.501, 0.997, 0.273)
Rh (0.001, 0.997, 0.498)
Tm (0.502, 0.998, 0.723)

Symmetry = C2/m (12)
D(E_F) = 1.03 states/eV/atom

Which structure is the most stable? The one labeled #one.

#one
The following is a DFT calculation (PBE) of UInRh4 after structural relaxation.

a b c (Å): 4.047 7.835 6.662
angles (deg): 90.00 107.69 90.00
Positions (direct):
In (0.152, 0.250, 0.304)
Rh (0.000, 0.000, 0.000)
Rh (0.492, 0.250, 0.985)
Rh (0.000, 0.500, 0.000)
U (0.851, 0.250, 0.702)
Rh (0.668, 0.507, 0.337)
Rh (0.332, 0.007, 0.663)
U (0.149, 0.750, 0.298)
Rh (0.508, 0.750, 0.015)
In (0.848, 0.750, 0.696)
Rh (0.332, 0.493, 0.663)
Rh (0.668, 0.993, 0.337)

Symmetry = Cmcm (63)
D(E_F) = 0.59 states/eV/atom

#two
The following is a DFT calculation (PBE) of UInRh4 after structural relaxation.

a b c (Å): 5.266 5.266 5.266
angles (deg): 60.00 60.00 60.00
Positions (direct):
Rh (0.128, 0.624, 0.624)
In (0.250, 0.250, 0.250)
Rh (0.624, 0.128, 0.624)
U (0.000, 0.000, 0.000)
Rh (0.624, 0.624, 0.624)
Rh (0.624, 0.624, 0.128)

Symmetry = F-43m (216)
D(E_F) = 1.11 states/eV/atom

Which structure is the most stable? The one labeled #one.

#one
The following is a DFT calculation (PBE) of VIn3Rh after structural relaxation.

a b c (Å): 5.077 5.077 5.077
angles (deg): 90.00 90.00 90.00
Positions (direct):
In (0.000, 0.000, 0.500)
In (0.000, 0.500, 0.000)
Rh (0.000, 0.000, 0.000)
V (0.500, 0.500, 0.500)
In (0.500, 0.000, 0.000)

Symmetry = Pm-3m (221)
D(E_F) = 1.03 states/eV/atom

#two
The following is a DFT calculation (PBE) of VIn3Rh after structural relaxation.

a b c (Å): 5.058 5.058 5.058
angles (deg): 90.00 90.00 90.00
Positions (direct):
Rh (0.500, 0.500, 0.500)
In (0.500, 0.000, 0.000)
V (0.000, 0.000, 0.000)
In (0.000, 0.500, 0.000)
In (0.000, 0.000, 0.500)

Symmetry = Pm-3m (221)
D(E_F) = 0.89 states/eV/atom

Which structure is the most stable? The one labeled #one.

#one
The following is a DFT calculation (PBE) of InRh3W after structural relaxation.

a b c (Å): 4.733 4.733 4.733
angles (deg): 90.00 90.00 90.00
Positions (direct):
Rh (0.500, 0.000, 0.000)
Rh (0.000, 0.500, 0.000)
W (0.000, 0.000, 0.000)
In (0.500, 0.500, 0.500)
Rh (0.000, 0.000, 0.500)

Symmetry = Pm-3m (221)
D(E_F) = 1.17 states/eV/atom

#two
The following is a DFT calculation (PBE) of InRh3W after structural relaxation.

a b c (Å): 4.725 4.725 4.725
angles (deg): 90.00 90.00 90.00
Positions (direct):
In (0.000, 0.000, 0.000)
Rh (0.000, 0.000, 0.500)
Rh (0.500, 0.000, 0.000)
W (0.500, 0.500, 0.500)
Rh (0.000, 0.500, 0.000)

Symmetry = Pm-3m (221)
D(E_F) = 0.74 states/eV/atom

Which structure is the most stable? The one labeled #one.

#one
The following is a DFT calculation (PBE) of YIn3Rh after structural relaxation.

a b c (Å): 5.073 5.073 5.073
angles (deg): 90.00 90.00 90.00
Positions (direct):
In (0.000, 0.000, 0.500)
Y (0.500, 0.500, 0.500)
In (0.500, 0.000, 0.000)
In (0.000, 0.500, 0.000)
Rh (0.000, 0.000, 0.000)

Symmetry = Pm-3m (221)
D(E_F) = 0.68 states/eV/atom

#two
The following is a DFT calculation (PBE) of YIn3Rh after structural relaxation.

a b c (Å): 5.702 5.702 5.702
angles (deg): 90.00 90.00 90.00
Positions (direct):
Y (0.000, 0.000, 0.000)
In (0.000, 0.000, 0.500)
Rh (0.500, 0.500, 0.500)
In (0.500, 0.000, 0.000)
In (0.000, 0.500, 0.000)

Symmetry = Pm-3m (221)
D(E_F) = 1.57 states/eV/atom

Which structure is the most stable? The one labeled #one.

#one
The following is a DFT calculation (PBE) of YIn2Rh2 after structural relaxation.

a b c (Å): 4.662 5.239 8.930
angles (deg): 105.80 90.00 90.00
Positions (direct):
Rh (0.250, 0.890, 0.591)
Rh (0.750, 0.110, 0.409)
Rh (0.250, 0.303, 0.972)
In (0.750, 0.248, 0.136)
Y (0.250, 0.812, 0.231)
In (0.250, 0.752, 0.864)
Y (0.750, 0.188, 0.769)
In (0.250, 0.352, 0.527)
In (0.750, 0.648, 0.473)
Rh (0.750, 0.697, 0.028)

Symmetry = P2_1/m (11)
D(E_F) = 0.56 states/eV/atom

#two
The following is a DFT calculation (PBE) of YIn2Rh2 after structural relaxation.

a b c (Å): 7.949 7.949 3.089
angles (deg): 90.00 90.00 90.00
Positions (direct):
In (0.627, 0.127, 0.000)
Rh (0.173, 0.673, 0.500)
Y (0.500, 0.500, 0.000)
Rh (0.673, 0.827, 0.500)
In (0.127, 0.373, 0.000)
Y (0.000, 0.000, 0.000)
Rh (0.827, 0.327, 0.500)
Rh (0.327, 0.173, 0.500)
In (0.373, 0.873, 0.000)
In (0.873, 0.627, 0.000)

Symmetry = P4/mbm (127)
D(E_F) = 0.50 states/eV/atom

#three
The following is a DFT calculation (PBE) of YIn2Rh2 after structural relaxation.

a b c (Å): 4.199 4.199 6.706
angles (deg): 71.76 71.76 90.00
Positions (direct):
In (0.750, 0.250, 0.500)
Rh (0.604, 0.604, 0.791)
Rh (0.396, 0.396, 0.209)
Y (0.000, 0.000, 0.000)
In (0.250, 0.750, 0.500)

Symmetry = I4/mmm (139)
D(E_F) = 0.70 states/eV/atom

#four
The following is a DFT calculation (PBE) of YIn2Rh2 after structural relaxation.

a b c (Å): 7.428 7.428 3.606
angles (deg): 90.00 90.00 90.00
Positions (direct):
Rh (0.641, 0.141, 0.000)
In (0.653, 0.847, 0.500)
Rh (0.141, 0.359, 0.000)
In (0.153, 0.653, 0.500)
In (0.347, 0.153, 0.500)
Y (0.500, 0.500, 0.000)
Rh (0.859, 0.641, 0.000)
Y (0.000, 0.000, 0.000)
In (0.847, 0.347, 0.500)
Rh (0.359, 0.859, 0.000)

Symmetry = P4/mbm (127)
D(E_F) = 0.57 states/eV/atom

Which structure is the most stable? The one labeled #one.

#one
The following is a DFT calculation (PBE) of Y6In3Rh after structural relaxation.

a b c (Å): 5.225 9.075 11.581
angles (deg): 90.00 90.01 90.00
Positions (direct):
Rh (0.500, 0.500, 0.500)
Y (0.000, 0.341, 0.418)
Y (0.500, 0.489, 0.264)
In (0.500, 0.500, 0.000)
Y (0.000, 0.684, 0.912)
Y (0.000, 0.659, 0.582)
In (0.500, 0.844, 0.731)
In (0.500, 0.156, 0.269)
In (0.000, 0.000, 0.500)
Y (0.500, 0.184, 0.588)
Y (0.500, 0.511, 0.736)
Y (0.000, 0.989, 0.236)
Y (0.500, 0.816, 0.412)
Rh (0.000, 0.000, 0.000)
Y (0.500, 0.841, 0.082)
Y (0.000, 0.011, 0.764)
In (0.000, 0.344, 0.769)
Y (0.500, 0.159, 0.918)
Y (0.000, 0.316, 0.088)
In (0.000, 0.656, 0.231)

Symmetry = Pnnm (58)
D(E_F) = 0.76 states/eV/atom

#two
The following is a DFT calculation (PBE) of Y6In3Rh after structural relaxation.

a b c (Å): 5.302 9.232 11.411
angles (deg): 107.86 90.00 90.00
Positions (direct):
Y (0.750, 0.778, 0.502)
In (0.250, 0.513, 0.379)
Rh (0.750, 0.042, 0.407)
Y (0.750, 0.898, 0.145)
Y (0.250, 0.102, 0.855)
Y (0.250, 0.458, 0.084)
In (0.750, 0.487, 0.621)
In (0.750, 0.598, 0.217)
Y (0.250, 0.130, 0.159)
Y (0.750, 0.870, 0.841)
In (0.250, 0.402, 0.783)
Y (0.250, 0.222, 0.498)
Y (0.750, 0.542, 0.916)
In (0.750, 0.222, 0.024)
Y (0.750, 0.151, 0.674)
In (0.250, 0.778, 0.976)
Y (0.250, 0.849, 0.326)
Y (0.250, 0.685, 0.666)
Y (0.750, 0.315, 0.334)
Rh (0.250, 0.958, 0.593)

Symmetry = P2_1/m (11)
D(E_F) = 0.91 states/eV/atom

Which structure is the most stable? The one labeled #two.